[1]
Computed, not measured: CoTc2SnC after structural relaxation at the GGA-PBE level of DFT.

Calculated values
For the uncorrected energy, the calculation gives -40.73 eV per cell. The value obtained for the energy of formation is 0.067 eV per atom.

a = 4.156 Å, b = 4.156 Å, c = 3.835 Å
α = 90.00°, β = 90.00°, γ = 90.00°
Sites, in units of the cell vectors:
C (0.000, 0.000, 0.000)
Co (0.000, 0.000, 0.500)
Sn (0.500, 0.500, 0.500)
Tc (0.000, 0.500, 0.000)
Tc (0.500, 0.000, 0.000)

[2]
Computed, not measured: Co2TcSnC after structural relaxation at the GGA-PBE level of DFT.

Calculated values
For the uncorrected energy, the calculation gives -37.68 eV per cell. The value obtained for the energy of formation is 0.025 eV per atom.

a = 3.893 Å, b = 3.893 Å, c = 4.082 Å
α = 90.00°, β = 90.00°, γ = 90.00°
Each line ends with the local moment (μB).
Sites, in units of the cell vectors:
C (0.000, 0.000, 0.000)  -0.01
Co (0.000, 0.500, 0.000)  0.62
Co (0.500, 0.000, 0.000)  0.62
Sn (0.500, 0.500, 0.500)  -0.03
Tc (0.000, 0.000, 0.500)  -0.05

[3]
Computed, not measured: Th2CoSnC after structural relaxation at the GGA-PBE level of DFT.

Calculated values
For the uncorrected energy, the calculation gives -74.58 eV per cell. The value obtained for the energy of formation is -0.423 eV per atom.

a = 3.942 Å, b = 6.946 Å, c = 8.820 Å
α = 114.22°, β = 90.00°, γ = 90.00°
Sites, in units of the cell vectors:
Th (0.750, 0.761, 0.612)
Th (0.750, 0.782, 0.019)
Th (0.250, 0.239, 0.388)
Th (0.250, 0.218, 0.981)
Co (0.250, 0.539, 0.735)
Co (0.750, 0.461, 0.265)
Sn (0.250, 0.722, 0.297)
Sn (0.750, 0.278, 0.703)
C (0.250, 0.834, 0.828)
C (0.750, 0.166, 0.172)

[4]
Computed, not measured: Y2CoSnC after structural relaxation at the GGA-PBE level of DFT.

Calculated values
For the uncorrected energy, the calculation gives -35.32 eV per cell. The value obtained for the energy of formation is -0.411 eV per atom. For the relative energy among the computed polymorphs, the calculation gives 0.00 eV per formula unit.

a = 5.093 Å, b = 5.093 Å, c = 3.742 Å
α = 90.00°, β = 90.00°, γ = 90.00°
Each line ends with the local moment (μB).
Sites, in units of the cell vectors:
Y (0.000, 0.500, 0.000)  0.00
Y (0.500, 0.000, 0.000)  0.00
C (0.000, 0.000, 0.000)  0.00
Co (0.000, 0.000, 0.500)  0.46
Sn (0.500, 0.500, 0.500)  0.04

[5]
Computed, not measured: Y2CoSnC after structural relaxation at the GGA-PBE level of DFT.

Calculated values
For the uncorrected energy, the calculation gives -25.51 eV per cell. The value obtained for the energy of formation is 1.551 eV per atom. For the relative energy among the computed polymorphs, the calculation gives 9.81 eV per formula unit.

a = 5.628 Å, b = 4.571 Å, c = 5.628 Å
α = 90.00°, β = 90.00°, γ = 90.00°
Each line ends with the local moment (μB).
Sites, in units of the cell vectors:
Y (0.000, 0.000, 0.500)  -0.01
Y (0.500, 0.000, 0.000)  0.03
C (0.500, 0.500, 0.500)  0.50
Co (0.000, 0.500, 0.000)  1.57
Sn (0.000, 0.000, 0.000)  0.02

[6]
Computed, not measured: SrCoC after structural relaxation at the GGA-PBE level of DFT.

Calculated values
For the uncorrected energy, the calculation gives -16.94 eV per cell. The value obtained for the energy of formation is 0.356 eV per atom. For the relative energy among the computed polymorphs, the calculation gives 1.09 eV per formula unit.

a = 4.501 Å, b = 3.432 Å, c = 3.432 Å
α = 120.00°, β = 90.00°, γ = 90.00°
Sites, in units of the cell vectors:
Sr (0.667, 0.667, 0.333)
C (0.167, 0.000, 0.000)
Co (0.167, 0.333, 0.667)

[7]
Computed, not measured: Sr2CoC after structural relaxation at the GGA-PBE level of DFT.

Calculated values
For the uncorrected energy, the calculation gives -38.60 eV per cell. The value obtained for the energy of formation is 0.099 eV per atom.

a = 10.677 Å, b = 10.677 Å, c = 7.769 Å
α = 46.59°, β = 46.59°, γ = 90.00°
Sites, in units of the cell vectors:
Sr (0.421, 0.125, 0.250)
Sr (0.329, 0.625, 0.250)
Sr (0.375, 0.579, 0.750)
Sr (0.875, 0.671, 0.750)
C (0.500, 0.500, 0.000)
C (0.250, 0.750, 0.500)
Co (0.000, 0.000, 0.000)
Co (0.750, 0.250, 0.500)

[8]
Computed, not measured: SrCo2C after structural relaxation at the GGA-PBE level of DFT.

Calculated values
For the uncorrected energy, the calculation gives -47.91 eV per cell. The value obtained for the energy of formation is 0.291 eV per atom.

a = 5.798 Å, b = 5.798 Å, c = 5.796 Å
α = 59.99°, β = 59.99°, γ = 90.00°
Sites, in units of the cell vectors:
Sr (0.000, 0.000, 0.000)
Sr (0.750, 0.250, 0.500)
C (0.500, 0.500, 0.000)
C (0.250, 0.750, 0.500)
Co (0.374, 0.125, 0.250)
Co (0.376, 0.625, 0.250)
Co (0.375, 0.626, 0.750)
Co (0.875, 0.624, 0.750)